ScNi3Br: optimized geometry, GGA-PBE.

Distance to the lowest polymorph of the same formula, eV/f.u.: 0.00
Formation energy from raw total energies, eV per atom: 0.538

a b c (Å): 4.408 4.408 4.408
angles (deg): 90.00 90.00 90.00
Fractional coordinates of all 5 atoms:
Sc: 0.000 0.000 0.000
Ni: 0.000 0.500 0.500
Ni: 0.500 0.000 0.500
Ni: 0.500 0.500 0.000
Br: 0.500 0.500 0.500



ScNiBr: optimized geometry, GGA-PBE.

Formation energy from raw total energies, eV per atom: -0.156

a b c (Å): 6.366 6.366 6.366
angles (deg): 90.00 90.00 90.00
Fractional coordinates of all 12 atoms:
Sc: 0.000 0.000 0.000
Sc: 0.000 0.500 0.500
Sc: 0.500 0.000 0.500
Sc: 0.500 0.500 0.000
Ni: 0.250 0.250 0.750
Ni: 0.250 0.750 0.250
Ni: 0.750 0.250 0.250
Ni: 0.750 0.750 0.750
Br: 0.250 0.250 0.250
Br: 0.250 0.750 0.750
Br: 0.750 0.250 0.750
Br: 0.750 0.750 0.250



Sc3NiBr: optimized geometry, GGA-PBE.

Distance to the lowest polymorph of the same formula, eV/f.u.: 0.00
Formation energy from raw total energies, eV per atom: -0.201

a b c (Å): 4.949 4.949 4.949
angles (deg): 90.00 90.00 90.00
Fractional coordinates of all 5 atoms:
Sc: 0.000 0.000 0.500
Sc: 0.000 0.500 0.000
Sc: 0.500 0.000 0.000
Ni: 0.000 0.000 0.000
Br: 0.500 0.500 0.500



ScNiSeBr2: optimized geometry, GGA-PBE.

Distance to the lowest polymorph of the same formula, eV/f.u.: 0.05
Formation energy from raw total energies, eV per atom: -0.288

a b c (Å): 5.204 5.204 5.286
angles (deg): 90.00 90.00 90.00
Fractional coordinates of all 5 atoms:
Sc: 0.000 0.000 0.000
Ni: 0.500 0.500 0.500
Se: 0.000 0.000 0.500
Br: 0.000 0.500 0.000
Br: 0.500 0.000 0.000



ScNiSeBr2: optimized geometry, GGA-PBE.

Distance to the lowest polymorph of the same formula, eV/f.u.: 0.00
Formation energy from raw total energies, eV per atom: -0.299

a b c (Å): 4.759 4.759 4.990
angles (deg): 90.00 90.00 90.00
Fractional coordinates of all 5 atoms:
Sc: 0.000 0.000 0.000
Ni: 0.500 0.500 0.500
Se: 0.500 0.500 0.000
Br: 0.000 0.500 0.500
Br: 0.500 0.000 0.500



NiSeBr2: optimized geometry, GGA-PBE.

Distance to the lowest polymorph of the same formula, eV/f.u.: 1.36
Formation energy from raw total energies, eV per atom: 0.135

a b c (Å): 3.012 3.012 11.852
angles (deg): 90.00 90.00 90.00
Fractional coordinates of all 4 atoms:
Ni: 0.000 0.000 0.000
Se: 0.500 0.500 0.083
Br: 0.000 0.000 0.391
Br: 0.500 0.500 0.745



NiSeBr2: optimized geometry, GGA-PBE.

Distance to the lowest polymorph of the same formula, eV/f.u.: 0.91
Formation energy from raw total energies, eV per atom: 0.021

a b c (Å): 3.401 3.401 8.446
angles (deg): 90.00 90.00 90.00
Fractional coordinates of all 4 atoms:
Ni: 0.000 0.000 0.000
Se: 0.500 0.500 0.916
Br: 0.000 0.000 0.270
Br: 0.500 0.500 0.631



Ni2Se4Br: optimized geometry, GGA-PBE.

Formation energy from raw total energies, eV per atom: -0.104

a b c (Å): 6.739 6.739 7.969
angles (deg): 115.15 115.15 89.69
Fractional coordinates of all 14 atoms:
Ni: 0.000 0.000 0.000
Ni: 0.000 0.000 0.500
Ni: 0.000 0.500 0.000
Ni: 0.500 0.000 0.500
Se: 0.188 0.197 0.897
Se: 0.197 0.188 0.397
Se: 0.200 0.709 0.397
Se: 0.291 0.800 0.103
Se: 0.709 0.200 0.897
Se: 0.800 0.291 0.603
Se: 0.803 0.812 0.603
Se: 0.812 0.803 0.103
Br: 0.375 0.625 0.750
Br: 0.625 0.375 0.250



NiSeBr2: optimized geometry, GGA-PBE.

Distance to the lowest polymorph of the same formula, eV/f.u.: 1.79
Formation energy from raw total energies, eV per atom: 0.242

a b c (Å): 3.219 6.550 10.116
angles (deg): 90.00 90.00 90.00
Fractional coordinates of all 8 atoms:
Ni: 0.000 0.000 0.000
Ni: 0.500 0.500 0.000
Se: 0.000 0.000 0.500
Se: 0.500 0.500 0.500
Br: 0.000 0.500 0.164
Br: 0.000 0.500 0.836
Br: 0.500 0.000 0.164
Br: 0.500 0.000 0.836



NiSe4Br: optimized geometry, GGA-PBE.

Distance to the lowest polymorph of the same formula, eV/f.u.: 4.71
Formation energy from raw total energies, eV per atom: 0.806

a b c (Å): 5.688 5.688 5.688
angles (deg): 60.00 60.00 60.00
Fractional coordinates of all 6 atoms:
Ni: 0.000 0.000 0.000
Se: 0.124 0.625 0.625
Se: 0.625 0.124 0.625
Se: 0.625 0.625 0.124
Se: 0.625 0.625 0.625
Br: 0.250 0.250 0.250



NiSeBr2: optimized geometry, GGA-PBE.

Distance to the lowest polymorph of the same formula, eV/f.u.: 2.54
Formation energy from raw total energies, eV per atom: 0.429

a b c (Å): 3.717 3.812 7.639
angles (deg): 90.00 90.00 90.00
Fractional coordinates of all 4 atoms:
Ni: 0.000 0.000 0.000
Se: 0.500 0.000 0.500
Br: 0.000 0.500 0.500
Br: 0.500 0.500 0.000



NiSeBr2: optimized geometry, GGA-PBE.

Distance to the lowest polymorph of the same formula, eV/f.u.: 2.34
Formation energy from raw total energies, eV per atom: 0.380

a b c (Å): 6.811 7.556 5.081
angles (deg): 90.00 131.93 90.00
Fractional coordinates of all 8 atoms:
Ni: 0.000 0.000 0.000
Ni: 0.500 0.500 0.000
Se: 0.000 0.500 0.000
Se: 0.500 0.000 0.000
Br: 0.250 0.250 0.500
Br: 0.250 0.750 0.500
Br: 0.750 0.250 0.500
Br: 0.750 0.750 0.500



Ni3SeBr: optimized geometry, GGA-PBE.

Distance to the lowest polymorph of the same formula, eV/f.u.: 0.00
Formation energy from raw total energies, eV per atom: 0.480

a b c (Å): 4.515 4.515 4.515
angles (deg): 90.00 90.00 90.00
Fractional coordinates of all 5 atoms:
Ni: 0.000 0.000 0.500
Ni: 0.000 0.500 0.000
Ni: 0.500 0.000 0.000
Se: 0.000 0.000 0.000
Br: 0.500 0.500 0.500



Ni2Se2Br: optimized geometry, GGA-PBE.

Formation energy from raw total energies, eV per atom: -0.209

a b c (Å): 3.547 3.547 14.812
angles (deg): 90.00 90.00 90.00
Fractional coordinates of all 10 atoms:
Ni: 0.000 0.000 0.163
Ni: 0.000 0.000 0.837
Ni: 0.500 0.500 0.337
Ni: 0.500 0.500 0.663
Se: 0.000 0.000 0.321
Se: 0.000 0.000 0.679
Se: 0.500 0.500 0.179
Se: 0.500 0.500 0.821
Br: 0.000 0.000 0.000
Br: 0.500 0.500 0.500



NiSe2Br6: optimized geometry, GGA-PBE.

Formation energy from raw total energies, eV per atom: -0.083

a b c (Å): 11.103 11.103 6.602
angles (deg): 103.68 103.68 68.32
Fractional coordinates of all 18 atoms:
Ni: 0.064 0.936 0.750
Ni: 0.936 0.064 0.250
Se: 0.304 0.540 0.730
Se: 0.460 0.696 0.770
Se: 0.540 0.304 0.230
Se: 0.696 0.460 0.270
Br: 0.026 0.144 0.624
Br: 0.119 0.709 0.858
Br: 0.144 0.026 0.124
Br: 0.204 0.397 0.484
Br: 0.291 0.881 0.642
Br: 0.397 0.204 0.984
Br: 0.603 0.796 0.016
Br: 0.709 0.119 0.358
Br: 0.796 0.603 0.516
Br: 0.856 0.974 0.876
Br: 0.881 0.291 0.142
Br: 0.974 0.856 0.376



NiSeBr2: optimized geometry, GGA-PBE.

Distance to the lowest polymorph of the same formula, eV/f.u.: 0.07
Formation energy from raw total energies, eV per atom: -0.189

a b c (Å): 3.471 5.154 15.330
angles (deg): 90.00 90.00 90.00
Fractional coordinates of all 8 atoms:
Ni: 0.000 0.000 0.000
Ni: 0.500 0.500 0.500
Se: 0.000 0.500 0.598
Se: 0.500 0.000 0.098
Br: 0.000 0.000 0.643
Br: 0.000 0.500 0.395
Br: 0.500 0.000 0.895
Br: 0.500 0.500 0.143



NiSe6Br12: optimized geometry, GGA-PBE.

Formation energy from raw total energies, eV per atom: 0.045

a b c (Å): 11.187 11.187 11.187
angles (deg): 60.01 60.01 60.01
Fractional coordinates of all 19 atoms:
Ni: 0.000 0.000 0.000
Se: 0.237 0.604 0.633
Se: 0.367 0.763 0.396
Se: 0.396 0.367 0.763
Se: 0.604 0.633 0.237
Se: 0.633 0.237 0.604
Se: 0.763 0.396 0.367
Br: 0.006 0.609 0.664
Br: 0.030 0.231 0.887
Br: 0.113 0.970 0.769
Br: 0.231 0.887 0.030
Br: 0.336 0.994 0.391
Br: 0.391 0.336 0.994
Br: 0.609 0.664 0.006
Br: 0.664 0.006 0.609
Br: 0.769 0.113 0.970
Br: 0.887 0.030 0.231
Br: 0.970 0.769 0.113
Br: 0.994 0.391 0.336



NiSe4Br: optimized geometry, GGA-PBE.

Distance to the lowest polymorph of the same formula, eV/f.u.: 0.00
Formation energy from raw total energies, eV per atom: 0.020

a b c (Å): 10.359 10.359 4.391
angles (deg): 91.50 91.50 44.46
Fractional coordinates of all 12 atoms:
Ni: 0.055 0.055 0.183
Ni: 0.945 0.945 0.817
Se: 0.123 0.669 0.087
Se: 0.182 0.182 0.137
Se: 0.204 0.796 0.500
Se: 0.331 0.877 0.913
Se: 0.669 0.123 0.087
Se: 0.796 0.204 0.500
Se: 0.818 0.818 0.863
Se: 0.877 0.331 0.913
Br: 0.295 0.295 0.520
Br: 0.705 0.705 0.480



NiSeBr: optimized geometry, GGA-PBE.

Formation energy from raw total energies, eV per atom: -0.102

a b c (Å): 3.343 7.028 14.580
angles (deg): 90.00 90.00 90.00
Fractional coordinates of all 12 atoms:
Ni: 0.000 0.000 0.000
Ni: 0.000 0.500 0.500
Ni: 0.500 0.000 0.500
Ni: 0.500 0.500 0.000
Se: 0.000 0.000 0.396
Se: 0.000 0.500 0.896
Se: 0.500 0.000 0.896
Se: 0.500 0.500 0.396
Br: 0.000 0.000 0.614
Br: 0.000 0.500 0.114
Br: 0.500 0.000 0.114
Br: 0.500 0.500 0.614



NiSeBr2: optimized geometry, GGA-PBE.

Distance to the lowest polymorph of the same formula, eV/f.u.: 2.29
Formation energy from raw total energies, eV per atom: 0.368

a b c (Å): 6.887 6.887 8.707
angles (deg): 90.00 90.00 90.00
Fractional coordinates of all 16 atoms:
Ni: 0.000 0.000 0.000
Ni: 0.000 0.500 0.250
Ni: 0.500 0.000 0.750
Ni: 0.500 0.500 0.500
Se: 0.000 0.000 0.500
Se: 0.000 0.500 0.750
Se: 0.500 0.000 0.250
Se: 0.500 0.500 0.000
Br: 0.177 0.250 0.125
Br: 0.250 0.677 0.375
Br: 0.250 0.823 0.875
Br: 0.323 0.250 0.625
Br: 0.677 0.750 0.625
Br: 0.750 0.177 0.875
Br: 0.750 0.323 0.375
Br: 0.823 0.750 0.125



NiSeBr2: optimized geometry, GGA-PBE.

Distance to the lowest polymorph of the same formula, eV/f.u.: 1.31
Formation energy from raw total energies, eV per atom: 0.122

a b c (Å): 12.544 3.498 5.270
angles (deg): 90.00 102.34 90.00
Fractional coordinates of all 8 atoms:
Ni: 0.000 0.000 0.000
Ni: 0.500 0.500 0.000
Se: 0.000 0.500 0.500
Se: 0.500 0.000 0.500
Br: 0.134 0.500 0.183
Br: 0.366 0.000 0.817
Br: 0.634 0.000 0.183
Br: 0.866 0.500 0.817



NiSeBr: optimized geometry, GGA-PBE.

Formation energy from raw total energies, eV per atom: 0.335

a b c (Å): 6.252 6.252 6.252
angles (deg): 90.00 90.00 90.00
Fractional coordinates of all 12 atoms:
Ni: 0.000 0.000 0.000
Ni: 0.000 0.500 0.500
Ni: 0.500 0.000 0.500
Ni: 0.500 0.500 0.000
Se: 0.250 0.250 0.250
Se: 0.250 0.750 0.750
Se: 0.750 0.250 0.750
Se: 0.750 0.750 0.250
Br: 0.250 0.250 0.750
Br: 0.250 0.750 0.250
Br: 0.750 0.250 0.250
Br: 0.750 0.750 0.750



NiSeBr: optimized geometry, GGA-PBE.

Formation energy from raw total energies, eV per atom: -0.202

a b c (Å): 3.531 3.531 5.766
angles (deg): 90.00 90.00 120.00
Fractional coordinates of all 3 atoms:
Ni: 0.000 0.000 0.000
Se: 0.333 0.667 0.219
Br: 0.667 0.333 0.738



NiSeBr2: optimized geometry, GGA-PBE.

Distance to the lowest polymorph of the same formula, eV/f.u.: 4.07
Formation energy from raw total energies, eV per atom: 0.812

a b c (Å): 6.904 6.904 6.904
angles (deg): 90.00 90.00 90.00
Fractional coordinates of all 16 atoms:
Ni: 0.000 0.000 0.000
Ni: 0.000 0.500 0.500
Ni: 0.500 0.000 0.500
Ni: 0.500 0.500 0.000
Se: 0.000 0.000 0.500
Se: 0.000 0.500 0.000
Se: 0.500 0.000 0.000
Se: 0.500 0.500 0.500
Br: 0.250 0.250 0.250
Br: 0.250 0.250 0.750
Br: 0.250 0.750 0.250
Br: 0.250 0.750 0.750
Br: 0.750 0.250 0.250
Br: 0.750 0.250 0.750
Br: 0.750 0.750 0.250
Br: 0.750 0.750 0.750



NiSeBr2: optimized geometry, GGA-PBE.

Distance to the lowest polymorph of the same formula, eV/f.u.: 1.72
Formation energy from raw total energies, eV per atom: 0.223

a b c (Å): 3.166 6.707 10.451
angles (deg): 90.00 90.00 90.00
Fractional coordinates of all 8 atoms:
Ni: 0.000 0.000 0.000
Ni: 0.500 0.500 0.500
Se: 0.000 0.000 0.500
Se: 0.500 0.500 0.000
Br: 0.000 0.500 0.339
Br: 0.000 0.500 0.661
Br: 0.500 0.000 0.161
Br: 0.500 0.000 0.839



NiSeBr2: optimized geometry, GGA-PBE.

Distance to the lowest polymorph of the same formula, eV/f.u.: 3.89
Formation energy from raw total energies, eV per atom: 0.767

a b c (Å): 4.994 4.994 3.361
angles (deg): 90.00 90.00 90.00
Fractional coordinates of all 4 atoms:
Ni: 0.000 0.000 0.000
Se: 0.500 0.500 0.000
Br: 0.000 0.500 0.500
Br: 0.500 0.000 0.500



NiSeBr2: optimized geometry, GGA-PBE.

Distance to the lowest polymorph of the same formula, eV/f.u.: 0.00
Formation energy from raw total energies, eV per atom: -0.205

a b c (Å): 7.372 3.502 8.129
angles (deg): 90.00 95.08 90.00
Fractional coordinates of all 8 atoms:
Ni: 0.000 0.000 0.000
Ni: 0.500 0.500 0.000
Se: 0.346 0.000 0.858
Se: 0.846 0.500 0.858
Br: 0.118 0.500 0.180
Br: 0.445 0.000 0.584
Br: 0.618 0.000 0.180
Br: 0.945 0.500 0.584